1.
Material: Na4Pu3SnTe8
Method: DFT, PBE
State: relaxed

Computed properties:
D(E_F) = 115.027 states/eV/cell
final energy = -275.5 eV/cell

Cell and atoms, written as CIF:
```
data_Na4Pu3SnTe8
_cell_length_a 9.0484
_cell_length_b 9.0484
_cell_length_c 22.2215
_cell_angle_alpha 90.00
_cell_angle_beta 90.00
_cell_angle_gamma 120.00
_symmetry_space_group_name_H-M 'R -3 m'
_symmetry_Int_Tables_number 166
_symmetry_space_group_name_Hall '-R 3 2"'
loop_
_atom_site_label
_atom_site_type_symbol
_atom_site_fract_x
_atom_site_fract_y
_atom_site_fract_z
Na1 Na 0.0000 0.0000 0.0000
Na2 Na 0.0000 0.5000 0.0000
Pu1 Pu 0.0000 0.5000 0.5000
Sn1 Sn 0.0000 0.0000 0.5000
Te1 Te 0.0000 0.0000 0.2443
Te2 Te 0.0059 0.5030 0.7562
```

***

2.
Material: VAsP
Method: DFT, PBE
State: relaxed

Computed properties:
energy relative to the elements = -69 kJ/mol of formula units
D(E_F) = 7.713 states/eV/cell
distance to the lowest polymorph of the same formula = 22 meV/atom
final energy = -79.6 eV/cell

Cell and atoms, written as CIF:
```
data_VAsP
_cell_length_a 4.5307
_cell_length_b 4.5504
_cell_length_c 8.2406
_cell_angle_alpha 90.00
_cell_angle_beta 90.00
_cell_angle_gamma 90.00
_symmetry_space_group_name_H-M 'F m m 2'
_symmetry_Int_Tables_number 42
_symmetry_space_group_name_Hall 'F 2 -2'
loop_
_atom_site_label
_atom_site_type_symbol
_atom_site_fract_x
_atom_site_fract_y
_atom_site_fract_z
V1 V 0.0000 0.0000 0.0000
As1 As 0.0000 0.0000 0.3249
P1 P 0.0000 0.0000 0.6394
```

***

3.
Material: Ce2Si7Ni12
Method: DFT, PBE
State: relaxed

Computed properties:
D(E_F) = 11.725 states/eV/cell
final energy = -132.9 eV/cell

Cell and atoms, written as CIF:
```
data_Ce2Si7Ni12
_cell_length_a 9.2038
_cell_length_b 9.2038
_cell_length_c 3.7504
_cell_angle_alpha 90.00
_cell_angle_beta 90.00
_cell_angle_gamma 120.00
_symmetry_space_group_name_H-M 'P -6'
_symmetry_Int_Tables_number 174
loop_
_symmetry_equiv_pos_as_xyz
'x,y,z'
'-x+y,-x,-z'
'-y,x-y,z'
'x,y,-z'
'-x+y,-x,z'
'-y,x-y,-z'
loop_
_atom_site_label
_atom_site_type_symbol
_atom_site_fract_x
_atom_site_fract_y
_atom_site_fract_z
Ce1 Ce 0.0000 0.0000 0.0000
Ce2 Ce 0.3333 0.6667 0.5000
Si1 Si 0.0536 0.4480 0.0000
Si2 Si 0.2676 0.2370 0.5000
Si3 Si 0.6667 0.3333 0.0000
Ni1 Ni 0.0356 0.2800 0.5000
Ni2 Ni 0.1167 0.7271 0.0000
Ni3 Ni 0.3887 0.1907 0.0000
Ni4 Ni 0.5593 0.4278 0.5000
```

***

4.
Material: BaAc3Pb3
Method: DFT, PBE
State: relaxed

Computed properties:
energy relative to the elements = -226 kJ/mol of formula units
D(E_F) = 15.442 states/eV/cell
final energy = -55.4 eV/cell

Cell and atoms, written as CIF:
```
data_BaAc3Pb3
_cell_length_a 10.5424
_cell_length_b 10.5424
_cell_length_c 6.6148
_cell_angle_alpha 90.00
_cell_angle_beta 90.00
_cell_angle_gamma 120.00
_symmetry_space_group_name_H-M 'P 63/m'
_symmetry_Int_Tables_number 176
_symmetry_space_group_name_Hall '-P 6c'
loop_
_atom_site_label
_atom_site_type_symbol
_atom_site_fract_x
_atom_site_fract_y
_atom_site_fract_z
Ba1 Ba 0.3333 0.6667 0.2500
Ac1 Ac 0.0164 0.3168 0.7500
Pb1 Pb 0.0136 0.6482 0.7500
```

***

5.
Material: Ho6MgRu2
Method: DFT, PBE
State: relaxed

Computed properties:
energy relative to the elements = -241 kJ/mol of formula units
D(E_F) = 33.127 states/eV/cell
distance to the lowest polymorph of the same formula = 0 meV/atom
final energy = -200.5 eV/cell

Cell and atoms, written as CIF:
```
data_Ho6MgRu2
_cell_length_a 9.3301
_cell_length_b 9.5200
_cell_length_c 10.4722
_cell_angle_alpha 90.00
_cell_angle_beta 90.00
_cell_angle_gamma 90.00
_symmetry_space_group_name_H-M 'I m m m'
_symmetry_Int_Tables_number 71
_symmetry_space_group_name_Hall '-I 2 2'
loop_
_atom_site_label
_atom_site_type_symbol
_atom_site_fract_x
_atom_site_fract_y
_atom_site_fract_z
Ho1 Ho 0.0000 0.2049 0.2405
Ho2 Ho 0.1858 0.5000 0.1730
Ho3 Ho 0.2145 0.3169 0.5000
Mg1 Mg 0.0000 0.0000 0.0000
Mg2 Mg 0.0000 0.0000 0.5000
Ru1 Ru 0.0000 0.3165 0.0000
Ru2 Ru 0.0000 0.5000 0.3732
```

***

6.
Material: CeYTaN3
Method: DFT, PBE
State: relaxed

Computed properties:
D(E_F) = 9.406 states/eV/cell
final energy = -111.8 eV/cell

Cell and atoms, written as CIF:
```
data_CeYTaN3
_cell_length_a 7.3323
_cell_length_b 3.3265
_cell_length_c 8.0733
_cell_angle_alpha 90.00
_cell_angle_beta 91.16
_cell_angle_gamma 90.00
_symmetry_space_group_name_H-M 'P 1 21/m 1'
_symmetry_Int_Tables_number 11
loop_
_symmetry_equiv_pos_as_xyz
'x,y,z'
'-x,-y,-z'
'-x,y+1/2,-z'
'x,-y+1/2,z'
loop_
_atom_site_label
_atom_site_type_symbol
_atom_site_fract_x
_atom_site_fract_y
_atom_site_fract_z
Ce1 Ce 0.1398 0.2500 0.3379
Y1 Y 0.3951 0.7500 0.6564
Ta1 Ta 0.1364 0.2500 0.9232
N1 N 0.1469 0.7500 0.0815
N2 N 0.1526 0.2500 0.6679
N3 N 0.3694 0.7500 0.3786
```

***

7.
Material: AcDy3YEr
Method: DFT, PBE
State: relaxed

Computed properties:
energy relative to the elements = 130 kJ/mol of formula units
D(E_F) = 41.337 states/eV/cell
final energy = -110.4 eV/cell

Cell and atoms, written as CIF:
```
data_AcDy3YEr
_cell_length_a 23.1594
_cell_length_b 5.3989
_cell_length_c 6.9648
_cell_angle_alpha 90.00
_cell_angle_beta 98.18
_cell_angle_gamma 90.00
_symmetry_space_group_name_H-M 'C 1 2/m 1'
_symmetry_Int_Tables_number 12
loop_
_symmetry_equiv_pos_as_xyz
'x,y,z'
'-x,-y,-z'
'-x,y,-z'
'x,-y,z'
'x+1/2,y+1/2,z'
'-x+1/2,-y+1/2,-z'
'-x+1/2,y+1/2,-z'
'x+1/2,-y+1/2,z'
loop_
_atom_site_label
_atom_site_type_symbol
_atom_site_fract_x
_atom_site_fract_y
_atom_site_fract_z
Ac1 Ac 0.1274 0.0000 0.4838
Dy1 Dy 0.0213 0.0000 0.7831
Dy2 Dy 0.1817 0.5000 0.7829
Dy3 Dy 0.2255 0.5000 0.3084
Y1 Y 0.0754 0.5000 0.1090
Er1 Er 0.1680 0.0000 0.0218
```

***

8.
Material: Pr3ErIn2
Method: DFT, PBE
State: relaxed

Computed properties:
energy relative to the elements = -199 kJ/mol of formula units
D(E_F) = 12.861 states/eV/cell
distance to the lowest polymorph of the same formula = 0 meV/atom
final energy = -52.9 eV/cell

Cell and atoms, written as CIF:
```
data_Pr3ErIn2
_cell_length_a 5.3430
_cell_length_b 10.1519
_cell_length_c 6.8636
_cell_angle_alpha 90.00
_cell_angle_beta 90.00
_cell_angle_gamma 90.00
_symmetry_space_group_name_H-M 'P m c 21'
_symmetry_Int_Tables_number 26
loop_
_symmetry_equiv_pos_as_xyz
'x,y,z'
'-x,-y,z+1/2'
'-x,y,z'
'x,-y,z+1/2'
loop_
_atom_site_label
_atom_site_type_symbol
_atom_site_fract_x
_atom_site_fract_y
_atom_site_fract_z
Pr1 Pr 0.0000 0.0351 0.0000
Pr2 Pr 0.0000 0.3286 0.3393
Pr3 Pr 0.5000 0.1833 0.7301
Er1 Er 0.5000 0.4617 0.0646
In1 In 0.0000 0.3568 0.8269
In2 In 0.5000 0.1474 0.2452
```